DFT (GGA+U) results for YMn2AlB2O8 after structural relaxation.

Unit cell a=3.3748 b=9.8892 c=9.9506 alpha=90.00 beta=109.52 gamma=90.00
Fractional positions:
Y 0.0000 0.1422 0.0000
Y 0.0000 0.8578 0.5000
Mn 0.2462 0.3517 0.7611
Mn 0.2462 0.6483 0.2611
Mn 0.4090 0.1697 0.4017
Mn 0.4090 0.8303 0.9017
Al 0.6975 0.3694 0.1630
Al 0.6975 0.6306 0.6630
B 0.7146 0.0629 0.7151
B 0.7146 0.9371 0.2151
B 0.8710 0.4186 0.4595
B 0.8710 0.5814 0.9595
O 0.2197 0.2808 0.2032
O 0.2197 0.7192 0.7032
O 0.4823 0.2834 0.9841
O 0.4823 0.7166 0.4841
O 0.5761 0.0146 0.5768
O 0.5761 0.9854 0.0768
O 0.7415 0.1994 0.7518
O 0.7415 0.8006 0.2518
O 0.7654 0.4839 0.3264
O 0.7654 0.5161 0.8264
O 0.8379 0.0280 0.3277
O 0.8379 0.9720 0.8277
O 0.8635 0.4802 0.5842
O 0.8635 0.5198 0.0842
O 0.9877 0.2850 0.4733
O 0.9877 0.7150 0.9733

Values from the calculation:
Total energy (eV/atom): -8.1083